# PBE CuTe2As, optimized geometry
# Raw total energy ... -3.338 eV per atom
# Raw formation energy ... 419 meV/atom
data_CuTe2As
_cell_length_a 5.0048
_cell_length_b 5.0048
_cell_length_c 3.5150
_cell_angle_alpha 90.00
_cell_angle_beta 90.00
_cell_angle_gamma 90.00
_space_group_name_H-M_alt 'P 4/m m m'
_space_group_IT_number 123
_space_group_name_Hall '-P 4 2'
loop_
_atom_site_label
_atom_site_type_symbol
_atom_site_fract_x
_atom_site_fract_y
_atom_site_fract_z
Cu1 Cu 0.0000 0.0000 0.0000
Te1 Te 0.0000 0.5000 0.5000
As1 As 0.5000 0.5000 0.0000